Compound: ZrCdCo2
Source: Alexandria via LeMat-Bulk
Functional: PBEsol
Structure: optimized geometry

Cell: 3.0271 3.0271 23.6486 Å, 90.00 90.00 120.00°
Space group R-3m (No. 166, hexagonal axes)
One atom of each set of equivalent atoms:
Zr (0.0000, 0.0000, 0.0000) [3 per cell]
Cd (0.0000, 0.0000, 0.5000) [3 per cell]
Co (0.0000, 0.0000, 0.2543) [6 per cell]

## Properties
Uncorrected energy ... -6.182 eV/atom
Crystal system ... trigonal
Formation energy ... 259 meV/atom
Density of states at the Fermi level ... 10.8 states/eV per cell
Volume ... 15.64 Å³/atom

---

Compound: ZrCdCo3
Source: Alexandria via LeMat-Bulk
Functional: PBEsol
Structure: optimized geometry

Cell: 4.444 4.444 4.444 Å, 90.00 90.00 90.00°
Space group Pm-3m (No. 221)
One atom of each set of equivalent atoms:
Zr (0.000, 0.000, 0.000) [1 per cell]
Cd (0.500, 0.500, 0.500) [1 per cell]
Co (0.000, 0.000, 0.500) [3 per cell]

## Properties
Uncorrected energy ... -5.407 eV/atom
Crystal system ... cubic
Formation energy ... 1293 meV/atom
Density of states at the Fermi level ... 7.2 states/eV per cell
Volume ... 17.55 Å³/atom

---

Compound: ZrCdCo2
Source: Alexandria via LeMat-Bulk
Functional: PBEsol
Structure: optimized geometry

Cell: 9.647 2.936 4.412 Å, 90.00 108.62 90.00°
Space group Cm (No. 8)
One atom of each set of equivalent atoms:
Zr (0.000, 0.000, 0.000) [2 per cell]
Cd (0.219, 0.000, 0.657) [2 per cell]
Co (0.267, 0.500, 0.193) [2 per cell]
Co (0.467, 0.000, 0.477) [2 per cell]

## Properties
Uncorrected energy ... -6.405 eV/atom
Crystal system ... monoclinic
Formation energy ... 35 meV/atom
Density of states at the Fermi level ... 6.3 states/eV per cell
Volume ... 14.80 Å³/atom

---

Compound: CrCd2
Source: Alexandria via LeMat-Bulk
Functional: PBEsol
Structure: optimized geometry

Cell: 4.7329 4.7329 5.7172 Å, 90.00 90.00 120.00°
Space group P6_3/mmc (No. 194)
One atom of each set of equivalent atoms:
Cr (0.3333, 0.6667, 0.2500) [2 per cell]
Cd (0.0000, 0.0000, 0.0000) [2 per cell]
Cd (0.3333, 0.6667, 0.7500) [2 per cell]

## Properties
Uncorrected energy ... -3.783 eV/atom
Crystal system ... hexagonal
Formation energy ... 429 meV/atom
Density of states at the Fermi level ... 3.1 states/eV per cell
Volume ... 18.49 Å³/atom

---

What did the fourth record say?
Compound: CrCd2
Source: Alexandria via LeMat-Bulk
Functional: PBEsol
Structure: optimized geometry

Cell: 4.7329 4.7329 5.7172 Å, 90.00 90.00 120.00°
Space group P6_3/mmc (No. 194)
One atom of each set of equivalent atoms:
Cr (0.3333, 0.6667, 0.2500) [2 per cell]
Cd (0.0000, 0.0000, 0.0000) [2 per cell]
Cd (0.3333, 0.6667, 0.7500) [2 per cell]

## Properties
Uncorrected energy ... -3.783 eV/atom
Crystal system ... hexagonal
Formation energy ... 429 meV/atom
Density of states at the Fermi level ... 3.1 states/eV per cell
Volume ... 18.49 Å³/atom